Density functional theory data (PBE) for crystalline TeWAu at its relaxed geometry.

Size of the total moment = 0.000 μB per atom
Formation energy without anion corrections = 0.786 eV/atom
Distance to the lowest polymorph of the same formula = 267 meV per atom
Crystal system = hexagonal

```
TeWAu
1.0
-2.6381 -3.2809 -2.4112
-0.3108 0.2851 4.8332
-2.1378 1.9024 -0.2497
Au Te W
1 1 1
direct
0.0000 0.0000 0.0004
0.6667 0.3333 0.4996
0.3333 0.6667 0.5000
```

Density functional theory data (PBE) for crystalline TeW2Au at its relaxed geometry.

Size of the total moment = 0.000 μB per atom
Formation energy without anion corrections = 0.467 eV/atom
Crystal system = trigonal

```
TeW2Au
1.0
9.0800 -0.0268 -0.0158
8.5070 3.1747 -0.0158
8.5070 1.5227 2.7857
Au Te W
1 1 2
direct
0.5107 0.5107 0.5107
0.7404 0.7404 0.7404
0.9905 0.9905 0.9905
0.2584 0.2584 0.2584
```